[1]
Entry from Alexandria via LeMat-Bulk: crystalline MnGaCoRuS at its relaxed geometry (PBE).

Cell: 4.477 4.477 4.744 Å, 105.15 105.15 52.20°
Fractional coordinates of all 5 atoms:
Mn 0.000 0.000 0.000
Ga 0.425 0.425 0.348
Co 0.121 0.121 0.575
Ru 0.742 0.742 0.313
S 0.689 0.689 0.811

Output
* energy relative to the lowest polymorph listed for this composition: 0.1655 eV per atom
* ΔE_f (raw): -0.07 eV/atom
* Fermi-level density of states: 3.9 states/eV/f.u.


[2]
Entry from Alexandria via LeMat-Bulk: crystalline Nd2HoEr6 at its relaxed geometry (PBE).

Cell: 9.544 9.544 6.538 Å, 99.20 99.20 96.05°
Fractional coordinates of all 18 atoms:
Nd 0.118 0.169 0.374
Nd 0.169 0.118 0.874
Nd 0.831 0.882 0.126
Nd 0.882 0.831 0.626
Ho 0.383 0.617 0.750
Ho 0.617 0.383 0.250
Er 0.039 0.442 0.731
Er 0.153 0.776 0.997
Er 0.224 0.847 0.503
Er 0.278 0.458 0.185
Er 0.442 0.039 0.231
Er 0.458 0.278 0.685
Er 0.542 0.722 0.315
Er 0.558 0.961 0.769
Er 0.722 0.542 0.815
Er 0.776 0.153 0.497
Er 0.847 0.224 0.003
Er 0.961 0.558 0.269

Output
* energy relative to the lowest polymorph listed for this composition: 0.0887 eV per atom
* Fermi-level density of states: 11.5 states/eV/f.u.


[3]
Entry from Alexandria via LeMat-Bulk: crystalline Cs3BaLa2Te6 at its relaxed geometry (PBE).

Cell: 8.464 8.464 9.374 Å, 98.68 98.68 120.02°
Fractional coordinates of all 12 atoms:
Cs 0.000 0.000 0.000
Cs 0.339 0.661 0.000
Cs 0.661 0.339 0.000
Ba 0.500 0.500 0.500
La 0.167 0.833 0.500
La 0.833 0.167 0.500
Te 0.077 0.433 0.299
Te 0.211 0.211 0.698
Te 0.433 0.077 0.299
Te 0.567 0.923 0.701
Te 0.789 0.789 0.302
Te 0.923 0.567 0.701

Output
* ΔE_f (raw): -1.38 eV/atom
* Fermi-level density of states: 15.9 states/eV/f.u.


[4]
Entry from Alexandria via LeMat-Bulk: crystalline Tm9ZrIn2 at its relaxed geometry (PBE).

Cell: 4.774 4.774 14.531 Å, 90.00 90.00 90.00°
Fractional coordinates of all 12 atoms:
Tm 0.000 0.000 0.000
Tm 0.000 0.000 0.336
Tm 0.000 0.000 0.664
Tm 0.000 0.500 0.165
Tm 0.000 0.500 0.500
Tm 0.000 0.500 0.835
Tm 0.500 0.000 0.165
Tm 0.500 0.000 0.500
Tm 0.500 0.000 0.835
Zr 0.500 0.500 0.000
In 0.500 0.500 0.336
In 0.500 0.500 0.664

Output
* Fermi-level density of states: 10.3 states/eV/f.u.
* energy: -56.21 eV per cell


[5]
Entry from Alexandria via LeMat-Bulk: crystalline Pr2TlPb3Se6 at its relaxed geometry (PBE).

Cell: 9.760 9.760 8.695 Å, 100.52 100.52 26.62°
Fractional coordinates of all 12 atoms:
Pr 0.168 0.168 0.332
Pr 0.832 0.832 0.668
Tl 0.500 0.500 0.000
Pb 0.160 0.160 0.850
Pb 0.500 0.500 0.500
Pb 0.840 0.840 0.150
Se 0.012 0.012 0.268
Se 0.321 0.321 0.901
Se 0.331 0.331 0.425
Se 0.669 0.669 0.575
Se 0.679 0.679 0.099
Se 0.988 0.988 0.732

Output
* ΔE_f (raw): -0.99 eV/atom
* Fermi-level density of states: 3.4 states/eV/f.u.


[6]
Entry from Alexandria via LeMat-Bulk: crystalline Ce2Pm3TmSb6 at its relaxed geometry (PBE).

Cell: 9.991 9.991 8.940 Å, 103.00 103.00 25.87°
Fractional coordinates of all 12 atoms:
Ce 0.165 0.165 0.332
Ce 0.835 0.835 0.668
Pm 0.167 0.167 0.835
Pm 0.500 0.500 0.500
Pm 0.833 0.833 0.165
Tm 0.500 0.500 0.000
Sb 0.000 0.000 0.243
Sb 0.000 0.000 0.757
Sb 0.333 0.333 0.417
Sb 0.336 0.336 0.917
Sb 0.664 0.664 0.083
Sb 0.667 0.667 0.583

Output
* ΔE_f (raw): -1.12 eV/atom
* Fermi-level density of states: 13.3 states/eV/f.u.


[7]
Entry from Alexandria via LeMat-Bulk: crystalline LaPr2Zn4 at its relaxed geometry (PBE).

Cell: 7.516 7.516 7.516 Å, 137.99 137.99 60.92°
Fractional coordinates of all 7 atoms:
La 0.000 0.000 0.000
Pr 0.283 0.283 0.000
Pr 0.717 0.717 0.000
Zn 0.108 0.608 0.500
Zn 0.392 0.892 0.500
Zn 0.608 0.108 0.500
Zn 0.892 0.392 0.500

Output
* Fermi-level density of states: 5.2 states/eV/f.u.
* energy: -20.47 eV per cell


[8]
Entry from Alexandria via LeMat-Bulk: crystalline Dy2Be3CuNi12 at its relaxed geometry (PBE).

Cell: 6.143 6.143 6.143 Å, 85.53 85.53 85.53°
Fractional coordinates of all 18 atoms:
Dy 0.205 0.205 0.205
Dy 0.795 0.795 0.795
Be 0.000 0.500 0.500
Be 0.500 0.000 0.500
Be 0.500 0.500 0.000
Cu 0.500 0.500 0.500
Ni 0.097 0.097 0.632
Ni 0.097 0.632 0.097
Ni 0.202 0.686 0.686
Ni 0.314 0.314 0.798
Ni 0.314 0.798 0.314
Ni 0.368 0.903 0.903
Ni 0.632 0.097 0.097
Ni 0.686 0.202 0.686
Ni 0.686 0.686 0.202
Ni 0.798 0.314 0.314
Ni 0.903 0.368 0.903
Ni 0.903 0.903 0.368

Output
* Fermi-level density of states: 19.4 states/eV/f.u.
* energy: -93.52 eV per cell


[9]
Entry from Alexandria via LeMat-Bulk: crystalline Pm3PrSm2As6 at its relaxed geometry (PBE).

Cell: 9.484 9.484 8.483 Å, 102.92 102.92 25.86°
Fractional coordinates of all 12 atoms:
Pm 0.000 0.000 0.000
Pm 0.334 0.334 0.667
Pm 0.666 0.666 0.333
Pr 0.000 0.000 0.500
Sm 0.333 0.333 0.166
Sm 0.667 0.667 0.834
As 0.167 0.167 0.082
As 0.168 0.168 0.585
As 0.499 0.499 0.247
As 0.501 0.501 0.753
As 0.832 0.832 0.415
As 0.833 0.833 0.918

Output
* Fermi-level density of states: 1.7 states/eV/f.u.
* energy: -74.62 eV per cell


[10]
Entry from Alexandria via LeMat-Bulk: crystalline LiLaOs at its relaxed geometry (PBE).

Cell: 3.352 3.352 7.089 Å, 90.00 90.00 120.00°
Fractional coordinates of all 3 atoms:
Li 0.000 0.000 0.000
La 0.333 0.667 0.545
Os 0.667 0.333 0.260

Output
* energy relative to the lowest polymorph listed for this composition: 0.5410 eV per atom
* Fermi-level density of states: 3.5 states/eV/f.u.


[11]
Entry from Alexandria via LeMat-Bulk: crystalline Cu2TcAs at its relaxed geometry (PBE).

Cell: 2.741 2.741 8.381 Å, 90.00 90.00 112.36°
Fractional coordinates of all 4 atoms:
Cu 0.000 0.000 0.000
Cu 0.500 0.500 0.230
Tc 0.500 0.500 0.745
As 0.000 0.000 0.502

Output
* Fermi-level density of states: 3.1 states/eV/f.u.
* energy: -21.80 eV per cell


[12]
Entry from Alexandria via LeMat-Bulk: crystalline La7Pr4Y at its relaxed geometry (PBE).

Cell: 6.491 7.462 9.301 Å, 89.93 76.52 89.88°
Fractional coordinates of all 12 atoms:
La 0.000 0.000 0.000
La 0.219 0.501 0.332
La 0.281 0.250 0.669
La 0.500 0.252 0.000
La 0.500 0.748 0.000
La 0.719 0.750 0.331
La 0.781 0.499 0.668
Pr 0.223 0.000 0.331
Pr 0.278 0.749 0.671
Pr 0.722 0.251 0.329
Pr 0.777 0.000 0.669
Y 0.000 0.500 0.000

Output
* energy relative to the lowest polymorph listed for this composition: 0.0000 eV per atom
* Fermi-level density of states: 19.7 states/eV/f.u.